Mg2Be2VO6 after structural relaxation, computed with GGA+U.

Cell and atoms, written as extended XYZ:
```
11
Lattice="-4.2315 2.2309 -0.3008 0.1720 -4.7790 0.3230 -0.1746 0.3204 4.8322" Properties=species:S:1:pos:R:3 pbc="T T T"
Mg -1.3832 -2.2821 2.5318
Mg -2.8510 0.0544 2.3226
O -4.2564 -0.6244 3.7021
O -2.6764 -1.5878 1.0537
O -1.3461 -3.9292 1.2570
O -2.8880 1.7014 3.5974
O -1.5577 -0.6399 3.8007
O 0.0223 -1.6034 1.1523
Be -2.9383 0.2146 4.7383
Be -1.2959 -2.4423 0.1161
V 0.0000 0.0000 0.0000
```

Summary:
Theoretical density, g/cm³: 3.7
Electronic total energy, eV per cell: -72.4